(w)
# YNb3Ir

Crystalline YNb3Ir at its relaxed geometry (PBE, Alexandria via LeMat-Bulk).

Cell lengths 4.936, 4.936, 4.936 Å; angles 90.00, 90.00, 90.00 degrees
Each line ends with the local moment (μB).
Sites, in units of the cell vectors:
1 Ir 0.000 0.000 0.000  0.01
2 Nb 0.000 0.000 0.500  0.25
3 Nb 0.500 0.000 0.000  0.10
4 Nb 0.000 0.500 0.000  0.11
5 Y 0.500 0.500 0.500  0.06

Results
Its crystal system is cubic. The density of states at the Fermi level comes out at 1.264 states/eV per atom. The value obtained for the total magnetization is 0.7 μB per formula unit. Its space group is Pm-3m.

---

(x)
# YNb3Ir

Crystalline YNb3Ir at its relaxed geometry (PBE, Alexandria via LeMat-Bulk).

Cell lengths 4.792, 4.792, 4.792 Å; angles 90.00, 90.00, 90.00 degrees
Sites, in units of the cell vectors:
1 Nb 0.000 0.000 0.500
2 Nb 0.500 0.000 0.000
3 Nb 0.000 0.500 0.000
4 Y 0.000 0.000 0.000
5 Ir 0.500 0.500 0.500

Results
Its crystal system is cubic. The density of states at the Fermi level comes out at 1.427 states/eV per atom. The value obtained for the total magnetization is 0.0 μB per formula unit. Its space group is Pm-3m.

---

Verdict on stability: (w) comes out on top.